CeSbPt6 | Alexandria via LeMat-Bulk | GGA-PBE | optimized geometry; space-group type = P4/mmm (123); raw formation energy = -0.553 eV/atom; energy above the most stable polymorph in this dataset = 0.000 eV per formula unit
1.0
4.1395 0.0000 0.0000
0.0000 4.1395 0.0000
0.0000 0.0000 8.2443
Ce Sb Pt
1 1 6
Direct
0.0000 0.0000 0.0000 Ce
0.0000 0.0000 0.5000 Sb
0.0000 0.5000 0.2525 Pt
0.0000 0.5000 0.7475 Pt
0.5000 0.0000 0.2525 Pt
0.5000 0.0000 0.7475 Pt
0.5000 0.5000 0.0000 Pt
0.5000 0.5000 0.5000 Pt